[1]
This record from Alexandria describes an optimized crystal structure of CsGaCl3. The functional is PBE-GGA.

Properties
SG   P2_1/c
DFT total energy   -3.151 eV/atom

Cell lengths 7.678, 8.340, 11.499 Å; angles 90.00, 96.39, 90.00 degrees
Fractional coordinates of all 20 atoms:
1 Cs 0.167 0.244 0.181
2 Cs 0.167 0.256 0.681
3 Cs 0.833 0.744 0.319
4 Cs 0.833 0.756 0.819
5 Ga 0.355 0.745 0.515
6 Ga 0.355 0.755 0.015
7 Ga 0.645 0.245 0.985
8 Ga 0.645 0.255 0.485
9 Cl 0.112 0.655 0.092
10 Cl 0.112 0.845 0.592
11 Cl 0.250 0.502 0.438
12 Cl 0.250 0.998 0.938
13 Cl 0.391 0.601 0.853
14 Cl 0.391 0.899 0.353
15 Cl 0.609 0.101 0.647
16 Cl 0.609 0.399 0.147
17 Cl 0.750 0.002 0.062
18 Cl 0.750 0.498 0.562
19 Cl 0.888 0.155 0.408
20 Cl 0.888 0.345 0.908

=====

[2]
This record from Alexandria describes an optimized crystal structure of Pu3CuGe6Pd2. The functional is PBE-GGA.

Properties
SG   P-3m1
DFT total energy   -7.337 eV/atom

Cell lengths 5.763, 5.763, 8.307 Å; angles 90.00, 90.00, 120.00 degrees
Fractional coordinates of all 12 atoms:
1 Pu 0.000 0.000 0.000
2 Pu 0.333 0.667 0.611
3 Pu 0.667 0.333 0.389
4 Cu 0.000 0.000 0.500
5 Ge 0.178 0.357 0.284
6 Ge 0.178 0.822 0.284
7 Ge 0.357 0.178 0.716
8 Ge 0.643 0.822 0.284
9 Ge 0.822 0.178 0.716
10 Ge 0.822 0.643 0.716
11 Pd 0.333 0.667 0.029
12 Pd 0.667 0.333 0.971

=====

[3]
This record from Alexandria describes an optimized crystal structure of HfThS4. The functional is PBE-GGA.

Properties
SG   P2_1/c
DFT total energy   -7.289 eV/atom

Cell lengths 7.242, 6.387, 7.216 Å; angles 90.00, 112.43, 90.00 degrees
Fractional coordinates of all 12 atoms:
1 Hf 0.000 0.000 0.000
2 Hf 0.000 0.500 0.500
3 Th 0.500 0.000 0.500
4 Th 0.500 0.500 0.000
5 S 0.120 0.184 0.339
6 S 0.120 0.316 0.839
7 S 0.346 0.646 0.612
8 S 0.346 0.854 0.112
9 S 0.654 0.146 0.888
10 S 0.654 0.354 0.388
11 S 0.880 0.684 0.161
12 S 0.880 0.816 0.661

=====

[4]
This record from Alexandria describes an optimized crystal structure of CaGaAg4. The functional is PBE-GGA.

Properties
SG   P-1
Energy above the most stable polymorph in this dataset   42 meV per atom

Cell lengths 4.918, 5.357, 9.998 Å; angles 105.29, 104.19, 90.17 degrees
Fractional coordinates of all 12 atoms:
1 Ca 0.250 0.227 0.001
2 Ca 0.750 0.773 0.999
3 Ga 0.000 0.500 0.500
4 Ga 0.500 0.000 0.500
5 Ag 0.077 0.004 0.656
6 Ag 0.148 0.569 0.795
7 Ag 0.353 0.776 0.204
8 Ag 0.423 0.350 0.345
9 Ag 0.577 0.650 0.655
10 Ag 0.647 0.224 0.796
11 Ag 0.852 0.431 0.205
12 Ag 0.923 0.996 0.344

=====

[5]
This record from Alexandria describes an optimized crystal structure of Y2Mg3Cu. The functional is PBE-GGA.

Properties
SG   R-3m
Energy above the most stable polymorph in this dataset   0 meV per atom

Cell lengths 5.772, 5.772, 5.772 Å; angles 61.38, 61.38, 61.38 degrees
Fractional coordinates of all 6 atoms:
1 Y 0.126 0.126 0.126
2 Y 0.874 0.874 0.874
3 Mg 0.000 0.500 0.500
4 Mg 0.500 0.000 0.500
5 Mg 0.500 0.500 0.000
6 Cu 0.500 0.500 0.500

=====

[6]
This record from Alexandria describes an optimized crystal structure of TbMg4Pb. The functional is PBE-GGA.

Properties
SG   F-43m
DFT total energy   -2.477 eV/atom

Cell lengths 6.021, 6.021, 6.021 Å; angles 60.00, 60.00, 60.00 degrees
Fractional coordinates of all 6 atoms:
1 Tb 0.000 0.000 0.000
2 Mg 0.375 0.375 0.375
3 Mg 0.375 0.375 0.875
4 Mg 0.375 0.875 0.375
5 Mg 0.875 0.375 0.375
6 Pb 0.750 0.750 0.750